First-principles (PBE-GGA) data for a relaxed HgAu2Br6 crystal, as listed in the Alexandria database.

a b c (Å): 15.074 13.440 6.698
angles (deg): 90.00 104.31 90.00
Space group C2/c (No. 15)
Unique sites:
1 Hg 0.000 0.089 0.250 [4 per cell]
2 Au 0.130 0.408 0.328 [8 per cell]
3 Br 0.113 0.092 0.589 [8 per cell]
4 Br 0.128 0.270 0.093 [8 per cell]
5 Br 0.132 0.413 0.703 [8 per cell]

First-principles (PBE-GGA) data for a relaxed NdDyTmGa crystal, as listed in the Alexandria database.

Results
Calculated formation energy in meV per atom: -100

a b c (Å): 7.574 7.574 7.574
angles (deg): 90.00 90.00 90.00
Space group F-43m (No. 216)
Unique sites:
1 Nd 0.000 0.000 0.000 [4 per cell]
2 Dy 0.000 0.000 0.500 [4 per cell]
3 Tm 0.250 0.250 0.750 [4 per cell]
4 Ga 0.250 0.250 0.250 [4 per cell]

First-principles (PBE-GGA) data for a relaxed Ta2Ti5Fe2Ni crystal, as listed in the Alexandria database.

Results
Calculated formation energy in meV per atom: -157

a b c (Å): 10.223 10.223 2.936
angles (deg): 90.00 90.00 90.00
Space group P4/mbm (No. 127)
Unique sites:
1 Ta 0.178 0.322 0.000 [4 per cell]
2 Ti 0.000 0.500 0.500 [2 per cell]
3 Ti 0.054 0.799 0.500 [8 per cell]
4 Fe 0.134 0.634 0.000 [4 per cell]
5 Ni 0.000 0.000 0.000 [2 per cell]

First-principles (PBE-GGA) data for a relaxed Li2AgSb2 crystal, as listed in the Alexandria database.

a b c (Å): 4.314 4.314 12.202
angles (deg): 90.00 90.00 90.00
Space group I4/mmm (No. 139)
Unique sites:
1 Li 0.000 0.500 0.250 [4 per cell]
2 Ag 0.000 0.000 0.000 [2 per cell]
3 Sb 0.000 0.000 0.389 [4 per cell]

First-principles (PBE-GGA) data for a relaxed BiPdF crystal, as listed in the Alexandria database.

a b c (Å): 4.658 5.213 5.524
angles (deg): 90.00 93.81 90.00
Space group P2_1/m (No. 11)
Unique sites:
1 Bi 0.081 0.250 0.322 [2 per cell]
2 Pd 0.016 0.750 0.161 [2 per cell]
3 F 0.434 0.750 0.657 [2 per cell]

First-principles (PBE-GGA) data for a relaxed La5TlIn2Ir2 crystal, as listed in the Alexandria database.

Results
Calculated formation energy in meV per atom: -547

a b c (Å): 12.451 12.451 3.876
angles (deg): 90.00 90.00 90.00
Space group P4/mbm (No. 127)
Unique sites:
1 La 0.000 0.500 0.000 [2 per cell]
2 La 0.067 0.213 0.000 [8 per cell]
3 Tl 0.000 0.000 0.500 [2 per cell]
4 In 0.186 0.686 0.500 [4 per cell]
5 Ir 0.134 0.366 0.500 [4 per cell]

First-principles (PBE-GGA) data for a relaxed Ac2Ho2Tl3 crystal, as listed in the Alexandria database.

Results
Calculated formation energy in meV per atom: -165

a b c (Å): 4.958 7.094 7.191
angles (deg): 87.92 89.96 69.62
Space group P-1 (No. 2)
Unique sites:
1 Ac 0.144 0.213 0.399 [2 per cell]
2 Ho 0.423 0.654 0.212 [2 per cell]
3 Tl 0.000 0.500 0.000 [1 per cell]
4 Tl 0.244 0.011 0.862 [2 per cell]

First-principles (PBE-GGA) data for a relaxed Sm6Ag5Bi crystal, as listed in the Alexandria database.

Results
Calculated formation energy in meV per atom: -342

a b c (Å): 5.281 7.520 15.968
angles (deg): 90.00 90.00 90.00
Space group Immm (No. 71)
Unique sites:
1 Sm 0.000 0.242 0.000 [4 per cell]
2 Sm 0.000 0.254 0.330 [8 per cell]
3 Ag 0.000 0.000 0.167 [4 per cell]
4 Ag 0.000 0.500 0.171 [4 per cell]
5 Ag 0.000 0.500 0.500 [2 per cell]
6 Bi 0.000 0.000 0.500 [2 per cell]

First-principles (PBE-GGA) data for a relaxed KYZr crystal, as listed in the Alexandria database.

Results
Calculated formation energy in meV per atom: 698

a b c (Å): 5.172 6.456 12.027
angles (deg): 90.00 90.00 90.00
Space group Pnma (No. 62)
Unique sites:
1 K 0.249 0.250 0.170 [4 per cell]
2 Y 0.249 0.250 0.532 [4 per cell]
3 Zr 0.249 0.250 0.799 [4 per cell]

First-principles (PBE-GGA) data for a relaxed LaYZr2 crystal, as listed in the Alexandria database.

Results
Calculated formation energy in meV per atom: 113

a b c (Å): 3.401 5.228 6.655
angles (deg): 90.00 104.79 90.00
Space group Pm (No. 6)
Unique sites:
1 La 0.000 0.000 0.000 [1 per cell]
2 Y 0.655 0.500 0.313 [1 per cell]
3 Zr 0.266 0.000 0.536 [1 per cell]
4 Zr 0.378 0.500 0.756 [1 per cell]

First-principles (PBE-GGA) data for a relaxed La2ErSi4Pt3 crystal, as listed in the Alexandria database.

a b c (Å): 4.299 4.299 10.845
angles (deg): 90.00 90.00 90.00
Space group P-4m2 (No. 115)
Unique sites:
1 La 0.000 0.500 0.232 [2 per cell]
2 Er 0.000 0.000 0.500 [1 per cell]
3 Si 0.000 0.000 0.000 [1 per cell]
4 Si 0.000 0.500 0.664 [2 per cell]
5 Si 0.500 0.500 0.000 [1 per cell]
6 Pt 0.000 0.500 0.891 [2 per cell]
7 Pt 0.500 0.500 0.500 [1 per cell]

First-principles (PBE-GGA) data for a relaxed Na3Ac2PrTe6 crystal, as listed in the Alexandria database.

a b c (Å): 20.342 4.715 9.324
angles (deg): 90.00 102.24 90.00
Space group C2/m (No. 12)
Unique sites:
1 Na 0.000 0.000 0.000 [2 per cell]
2 Na 0.167 0.500 0.332 [4 per cell]
3 Ac 0.165 0.500 0.829 [4 per cell]
4 Pr 0.000 0.000 0.500 [2 per cell]
5 Te 0.001 0.500 0.262 [4 per cell]
6 Te 0.163 0.000 0.577 [4 per cell]
7 Te 0.166 0.000 0.083 [4 per cell]

First-principles (PBE-GGA) data for a relaxed Pm5Si6 crystal, as listed in the Alexandria database.

a b c (Å): 3.921 28.789 4.411
angles (deg): 90.00 90.00 90.00
Space group Cmmm (No. 65)
Unique sites:
1 Pm 0.000 0.000 0.000 [2 per cell]
2 Pm 0.000 0.197 0.500 [4 per cell]
3 Pm 0.000 0.387 0.000 [4 per cell]
4 Si 0.000 0.091 0.500 [4 per cell]
5 Si 0.000 0.277 0.000 [4 per cell]
6 Si 0.000 0.459 0.500 [4 per cell]

First-principles (PBE-GGA) data for a relaxed K2RbAc crystal, as listed in the Alexandria database.

Results
Calculated formation energy in meV per atom: 272

a b c (Å): 4.1631 4.1631 49.4954
angles (deg): 90.00 90.00 120.00
Space group R-3m (No. 166, hexagonal axes)
Unique sites:
1 K 0.0000 0.0000 0.0804 [6 per cell]
2 Rb 0.0000 0.0000 0.5000 [3 per cell]
3 Ac 0.0000 0.0000 0.0000 [3 per cell]

First-principles (PBE-GGA) data for a relaxed Hg2SbCl2 crystal, as listed in the Alexandria database.

a b c (Å): 7.947 7.947 10.633
angles (deg): 90.00 90.00 90.00
Space group I4_1md (No. 109)
Unique sites:
1 Hg 0.000 0.268 0.000 [8 per cell]
2 Sb 0.000 0.000 0.562 [4 per cell]
3 Cl 0.000 0.259 0.249 [8 per cell]

First-principles (PBE-GGA) data for a relaxed Ca2AgRu crystal, as listed in the Alexandria database.

Results
Calculated formation energy in meV per atom: 141

a b c (Å): 3.538 4.893 10.533
angles (deg): 90.00 90.00 90.00
Space group Imm2 (No. 44)
Unique sites:
1 Ca 0.000 0.000 0.000 [2 per cell]
2 Ca 0.000 0.500 0.211 [2 per cell]
3 Ag 0.000 0.000 0.439 [2 per cell]
4 Ru 0.000 0.500 0.736 [2 per cell]

First-principles (PBE-GGA) data for a relaxed MgTe2Cl crystal, as listed in the Alexandria database.

a b c (Å): 3.187 3.236 11.390
angles (deg): 90.00 90.00 90.00
Space group Pmm2 (No. 25)
Unique sites:
1 Mg 0.000 0.000 0.000 [1 per cell]
2 Te 0.000 0.000 0.532 [1 per cell]
3 Te 0.500 0.500 0.192 [1 per cell]
4 Cl 0.500 0.500 0.879 [1 per cell]

First-principles (PBE-GGA) data for a relaxed Ag3H4S2Br3 crystal, as listed in the Alexandria database.

a b c (Å): 4.670 19.587 6.385
angles (deg): 90.00 90.00 90.00
Space group Imm2 (No. 44)
Unique sites:
1 Ag 0.000 0.000 0.000 [2 per cell]
2 Ag 0.000 0.405 0.521 [4 per cell]
3 H 0.000 0.108 0.346 [4 per cell]
4 H 0.000 0.233 0.152 [4 per cell]
5 S 0.000 0.123 0.139 [4 per cell]
6 Br 0.000 0.308 0.132 [4 per cell]
7 Br 0.000 0.500 0.185 [2 per cell]

First-principles (PBE-GGA) data for a relaxed MnTlTe2 crystal, as listed in the Alexandria database.

a b c (Å): 8.409 8.409 7.210
angles (deg): 90.00 90.00 90.00
Space group I4/mcm (No. 140)
Unique sites:
1 Mn 0.000 0.500 0.250 [4 per cell]
2 Tl 0.000 0.000 0.250 [4 per cell]
3 Te 0.163 0.337 0.000 [8 per cell]

First-principles (PBE-GGA) data for a relaxed YMn5 crystal, as listed in the Alexandria database.

Results
Calculated formation energy in meV per atom: 337

a b c (Å): 4.170 2.989 14.863
angles (deg): 90.00 90.00 90.00
Space group Amm2 (No. 38)
Unique sites:
1 Y 0.000 0.000 0.000 [2 per cell]
2 Mn 0.000 0.000 0.314 [2 per cell]
3 Mn 0.000 0.000 0.689 [2 per cell]
4 Mn 0.500 0.000 0.156 [2 per cell]
5 Mn 0.500 0.000 0.417 [2 per cell]
6 Mn 0.500 0.000 0.799 [2 per cell]

First-principles (PBE-GGA) data for a relaxed Cs2TlSe3 crystal, as listed in the Alexandria database.

a b c (Å): 14.563 10.553 6.072
angles (deg): 90.00 90.34 90.00
Space group C2/c (No. 15)
Unique sites:
1 Cs 0.148 0.166 0.250 [8 per cell]
2 Tl 0.000 0.382 0.750 [4 per cell]
3 Se 0.000 0.134 0.750 [4 per cell]
4 Se 0.145 0.500 0.494 [8 per cell]

First-principles (PBE-GGA) data for a relaxed ThGa7Co5 crystal, as listed in the Alexandria database.

Results
Calculated formation energy in meV per atom: -320

a b c (Å): 5.123 8.650 8.484
angles (deg): 90.00 90.00 90.00
Space group Imm2 (No. 44)
Unique sites:
1 Th 0.000 0.000 0.000 [2 per cell]
2 Ga 0.000 0.000 0.354 [2 per cell]
3 Ga 0.000 0.000 0.660 [2 per cell]
4 Ga 0.000 0.293 0.495 [4 per cell]
5 Ga 0.000 0.346 0.033 [4 per cell]
6 Ga 0.000 0.500 0.746 [2 per cell]
7 Co 0.000 0.500 0.286 [2 per cell]
8 Co 0.239 0.257 0.758 [8 per cell]

First-principles (PBE-GGA) data for a relaxed BaCeTeO2 crystal, as listed in the Alexandria database.

a b c (Å): 6.170 13.390 5.864
angles (deg): 90.00 90.00 90.00
Space group Cmcm (No. 63)
Unique sites:
1 Ba 0.000 0.108 0.250 [4 per cell]
2 Ce 0.000 0.426 0.250 [4 per cell]
3 Te 0.000 0.251 0.750 [4 per cell]
4 O 0.213 0.500 0.000 [8 per cell]

Short version: electronic total energy = -71.65; -69.07; -174.90; -30.40; -27.47; -111.34; -25.63; -101.11; -56.06; -28.03; -64.59; -104.49; -129.26; -18.55; -38.12; -31.13; -11.94; -75.02; -73.63; -100.58; -75.31; -136.61; -136.95 eV per cell, in the order given.